Entry 1:
A geometry-optimized VSe2BrN structure. Source: the Alexandria database, functional PBE.

The structure belongs to space group P4/mmm (No. 123); the cell edges are 4.500, 4.500 and 4.327 Å and the angles 90.00°, 90.00° and 90.00°. The distinct sites, in fractional coordinates, are V at (0.000, 0.000, 0.000), Se at (0.000, 0.500, 0.500), Br at (0.500, 0.500, 0.000) and N at (0.500, 0.500, 0.500).

The calculation puts the relative energy among the computed polymorphs at 902 meV per atom. The calculated total energy comes out at -20.48 eV per formula unit. As for the mass density: 5.7 Mg/m³. Its formation energy without anion corrections is 1.12 eV/atom. Its total moment is 0.17 μB/cell.

Entry 2:
A geometry-optimized BaOsPt structure. Source: the Alexandria database, functional PBE.

The structure belongs to space group P3m1 (No. 156); the cell edges are 3.0502, 3.0502 and 7.8696 Å and the angles 90.00°, 90.00° and 120.00°. The distinct sites, in fractional coordinates, are Ba at (0.0000, 0.0000, 0.0000), Os at (0.3333, 0.6667, 0.3692) and Pt at (0.6667, 0.3333, 0.6253).

The calculation puts the relative energy among the computed polymorphs at 1121 meV per atom. The calculated total energy comes out at -16.01 eV per formula unit. As for the mass density: 13.7 Mg/m³. Its total moment is 0.00 μB/cell. Its energy relative to the elements is 1062 meV per atom.

Entry 3:
A geometry-optimized Rb12Sb3F5 structure. Source: the Alexandria database, functional PBE.

The structure belongs to space group Ia-3d (No. 230); the cell edges are 18.693, 18.693 and 18.693 Å and the angles 90.00°, 90.00° and 90.00°. The distinct sites, in fractional coordinates, are Rb at (0.033, 0.051, 0.649), Sb at (0.000, 0.250, 0.125), F at (0.000, 0.000, 0.000) and F at (0.000, 0.250, 0.375).

The calculated total energy comes out at -61.81 eV per formula unit. As for the mass density: 3.0 Mg/m³. Its formation energy without anion corrections is -1.42 eV/atom. Its total moment is 17.50 μB/cell.

Entry 4:
A geometry-optimized Tb4Pm2ErSc structure. Source: the Alexandria database, functional PBE.

The structure belongs to space group P4/mmm (No. 123); the cell edges are 5.015, 5.015 and 9.975 Å and the angles 90.00°, 90.00° and 90.00°. The distinct sites, in fractional coordinates, are Tb at (0.000, 0.500, 0.246), Pm at (0.000, 0.000, 0.000), Pm at (0.500, 0.500, 0.500), Er at (0.000, 0.000, 0.500) and Sc at (0.500, 0.500, 0.000).

The calculated total energy comes out at -38.67 eV per formula unit. As for the mass density: 7.5 Mg/m³. Its total moment is 0.00 μB/cell. Its energy relative to the elements is 31 meV per atom.

Entry 5:
A geometry-optimized TeP3 structure. Source: the Alexandria database, functional PBE.

The structure belongs to space group P6_3/mmc (No. 194); the cell edges are 7.2640, 7.2640 and 6.7687 Å and the angles 90.00°, 90.00° and 120.00°. The distinct sites, in fractional coordinates, are Te at (0.0000, 0.0000, 0.0000), Te at (0.3333, 0.6667, 0.2500), P at (0.0000, 0.5000, 0.0000) and P at (0.1879, 0.3758, 0.7500).

The calculation puts the relative energy among the computed polymorphs at 281 meV per atom. The calculated total energy comes out at -17.45 eV per formula unit. As for the mass density: 4.7 Mg/m³. Its formation energy without anion corrections is 0.48 eV/atom. Its total moment is 0.00 μB/cell.

Entry 6:
A geometry-optimized Tb3Cd3Pt2 structure. Source: the Alexandria database, functional PBE.

The structure belongs to space group P-62m (No. 189); the cell edges are 7.6521, 7.6521 and 3.7138 Å and the angles 90.00°, 90.00° and 120.00°. The distinct sites, in fractional coordinates, are Tb at (0.0000, 0.5779, 0.0000), Cd at (0.0000, 0.2261, 0.5000) and Pt at (0.3333, 0.6667, 0.5000).

The calculated total energy comes out at -35.12 eV per formula unit. As for the mass density: 10.6 Mg/m³. Its total moment is 0.00 μB/cell. Its energy relative to the elements is -801 meV per atom.

Looking at volume for the records above, in order, we have 87.6; 63.4; 816.5; 250.8; 77.3; 188.3 Å³/f.u..